6
Lattice="-3.490 -4.149 -0.418 4.005 -3.486 1.174 -1.800 0.689 8.189" Properties=species:S:1:pos:R:3 comment="BaLaGa, relaxed, DFT PBE" final_energy_ev_per_atom=-3.54 formation_energy_kj_per_mol_atoms=-24 de_polymorph_mev_per_atom=95.0 sg="P4/nmm (129)" pbc="T T T"
Ga -0.643 -3.473 4.473
Ga -0.900 0.345 4.095
La 1.377 -1.504 3.431
La -2.920 -1.625 5.136
Ba 0.547 -1.186 7.205
Ba -2.090 -1.942 1.362

12
Lattice="-5.109 -2.543 -4.072 3.757 -6.169 -0.860 -3.777 -3.244 6.766" Properties=species:S:1:pos:R:3 comment="BaLaGa, relaxed, DFT PBE" final_energy_ev_per_atom=-3.51 formation_energy_kj_per_mol_atoms=-21 de_polymorph_mev_per_atom=119.7 sg="Pnma (62)" pbc="T T T"
Ba -1.795 -3.800 4.039
Ba -0.086 -6.287 -1.414
Ba -3.336 -8.156 -2.205
Ba -5.044 -5.669 3.248
La -3.848 -8.982 1.476
La -3.915 -4.314 -1.538
La -1.282 -2.975 0.357
La -1.215 -7.642 3.371
Ga -4.443 -2.893 1.347
Ga 0.000 0.000 0.000
Ga 1.878 -3.085 -0.430
Ga -2.565 -5.978 0.917

5
Lattice="6.431 0.000 0.000 0.000 6.431 0.000 0.000 0.000 6.431" Properties=species:S:1:pos:R:3 comment="Ba3LaGa, relaxed, DFT PBE" final_energy_ev_per_atom=-2.08 formation_energy_kj_per_mol_atoms=64 de_polymorph_mev_per_atom=455.3 sg="Pm-3m (221)" pbc="T T T"
La 0.000 0.000 0.000
Ba 0.000 0.000 3.215
Ba 0.000 3.215 0.000
Ba 3.215 0.000 0.000
Ga 3.215 3.215 3.215

no.,DOS at the Fermi energy (states/eV/cell),calculated density (g cm⁻³)
1,5.89,4.6
2,9.25,5.4
3,8.11,3.9